KMgSb3 | SCAN | single point on PBEsol structure

V = 161.2 Å³/cell
Space-group type = No. 221
Formation energy (no corrections) = 11.3 kJ per mole of atoms
Final energy = -24.900 eV/atom

POSCAR file:
```
KMgSb3
1.0
5.443 0.000 0.000
0.000 5.443 0.000
0.000 0.000 5.443
Mg K Sb
1 1 3
direct
0.000 0.000 0.000
0.500 0.500 0.500
0.500 0.000 0.000
0.000 0.000 0.500
0.000 0.500 0.000
```